1.
The following is a GGA-PBE calculation of a relaxed structure of PaReGe3, from Alexandria.

Summary:
ΔH_f (0 K) = -0.17 eV per atom
volume = 20.1 Å³ per atom
density of states at the Fermi level = 3.6 states/eV/f.u.

```
data_PaReGe3
_symmetry_space_group_name_H-M 'P 1'
_symmetry_Int_Tables_number 1
_cell_length_a 5.8593
_cell_length_b 5.5336
_cell_length_c 6.2105
_cell_angle_alpha 90.00
_cell_angle_beta 90.00
_cell_angle_gamma 90.00
loop_
_symmetry_equiv_pos_as_xyz
'x,y,z'
loop_
_atom_site_label
_atom_site_fract_x
_atom_site_fract_y
_atom_site_fract_z
_atom_site_occupancy
Ge1 0.4751 0.8502 0.4369 1
Ge2 0.4752 0.8502 0.9645 1
Re1 0.6713 0.5505 0.2007 1
Pa1 0.4042 0.3187 0.7007 1
Re2 0.1713 0.8023 0.7008 1
Ge3 0.3523 0.2698 0.2009 1
Ge4 0.9750 0.5026 0.4646 1
Pa2 0.9042 0.0341 0.2007 1
Ge5 0.8524 0.0830 0.7008 1
Ge6 0.9752 0.5025 0.9370 1
```

2.
The following is a GGA-PBE calculation of a relaxed structure of Pa3ReGe, from Alexandria.

Summary:
ΔH_f (0 K) = -0.15 eV per atom
volume = 23.7 Å³ per atom
density of states at the Fermi level = 9.2 states/eV/f.u.

```
data_Pa3ReGe
_symmetry_space_group_name_H-M 'P 1'
_symmetry_Int_Tables_number 1
_cell_length_a 3.9461
_cell_length_b 7.8220
_cell_length_c 7.9506
_cell_angle_alpha 92.83
_cell_angle_beta 90.01
_cell_angle_gamma 104.59
loop_
_symmetry_equiv_pos_as_xyz
'x,y,z'
loop_
_atom_site_label
_atom_site_fract_x
_atom_site_fract_y
_atom_site_fract_z
_atom_site_occupancy
Ge1 0.6280 0.2895 0.1337 1
Pa1 0.9814 0.9961 0.0389 1
Re1 0.8268 0.6870 0.8107 1
Ge2 0.4159 0.8645 0.2878 1
Re2 0.2171 0.4672 0.6109 1
Pa2 0.2670 0.5673 0.0197 1
Pa3 0.4267 0.8872 0.6738 1
Pa4 0.6172 0.2669 0.7478 1
Pa5 0.0626 0.1580 0.3827 1
Pa6 0.7770 0.5867 0.4018 1
```

3.
The following is a GGA-PBE calculation of a relaxed structure of Pa3Re2Ge3, from Alexandria.

Summary:
ΔH_f (0 K) = -0.30 eV per atom
volume = 20.6 Å³ per atom
density of states at the Fermi level = 8.8 states/eV/f.u.

```
data_Pa3Re2Ge3
_symmetry_space_group_name_H-M 'P 1'
_symmetry_Int_Tables_number 1
_cell_length_a 5.5205
_cell_length_b 7.7939
_cell_length_c 15.3015
_cell_angle_alpha 90.00
_cell_angle_beta 90.00
_cell_angle_gamma 90.00
loop_
_symmetry_equiv_pos_as_xyz
'x,y,z'
loop_
_atom_site_label
_atom_site_fract_x
_atom_site_fract_y
_atom_site_fract_z
_atom_site_occupancy
Ge1 0.1196 0.1937 0.9677 1
Ge2 0.6196 0.3063 0.4677 1
Pa1 0.3563 0.6785 0.7500 1
Re1 0.6137 0.5891 0.3847 1
Pa2 0.1168 0.4658 0.1092 1
Re2 0.8863 0.0891 0.1153 1
Ge3 0.3804 0.6937 0.9677 1
Ge4 0.8573 0.8208 0.7500 1
Pa3 0.6168 0.0342 0.8908 1
Re3 0.1137 0.9109 0.6153 1
Pa4 0.6437 0.3215 0.2500 1
Ge5 0.6427 0.3208 0.7500 1
Ge6 0.1196 0.1937 0.5323 1
Pa5 0.1168 0.4658 0.3908 1
Ge7 0.3804 0.6937 0.5323 1
Pa6 0.1437 0.1785 0.7500 1
Ge8 0.8804 0.8063 0.4677 1
Re4 0.3863 0.4109 0.8847 1
Re5 0.1137 0.9109 0.8847 1
Ge9 0.6196 0.3063 0.0323 1
Ge10 0.3573 0.6792 0.2500 1
Re6 0.6137 0.5891 0.1153 1
Ge11 0.1427 0.1792 0.2500 1
Pa7 0.8563 0.8215 0.2500 1
Pa8 0.3832 0.9658 0.1092 1
Pa9 0.8832 0.5342 0.8908 1
Re7 0.3863 0.4109 0.6153 1
Ge12 0.8804 0.8063 0.0323 1
Re8 0.8863 0.0891 0.3847 1
Pa10 0.8832 0.5342 0.6092 1
Pa11 0.6168 0.0342 0.6092 1
Pa12 0.3832 0.9658 0.3908 1
```

4.
The following is a GGA-PBE calculation of a relaxed structure of Pa2ReGe, from Alexandria.

Summary:
ΔH_f (0 K) = -0.11 eV per atom
polymorph energy (0 for the lowest one) = 119 meV per atom
volume = 24.1 Å³ per atom
density of states at the Fermi level = 4.9 states/eV/f.u.

```
data_Pa2ReGe
_symmetry_space_group_name_H-M 'P 1'
_symmetry_Int_Tables_number 1
_cell_length_a 4.2198
_cell_length_b 4.2198
_cell_length_c 6.2566
_cell_angle_alpha 90.00
_cell_angle_beta 90.00
_cell_angle_gamma 120.00
loop_
_symmetry_equiv_pos_as_xyz
'x,y,z'
loop_
_atom_site_label
_atom_site_fract_x
_atom_site_fract_y
_atom_site_fract_z
_atom_site_occupancy
Pa1 0.3333 0.6667 0.2269 1
Re1 0.0000 0.0000 0.0000 1
Pa2 0.6667 0.3333 0.7731 1
Ge1 0.0000 0.0000 0.5000 1
```

5.
The following is a GGA-PBE calculation of a relaxed structure of Pa2ReGe, from Alexandria.

Summary:
ΔH_f (0 K) = -0.23 eV per atom
polymorph energy (0 for the lowest one) = 0 meV per atom
volume = 20.2 Å³ per atom
density of states at the Fermi level = 4.8 states/eV/f.u.

```
data_Pa2ReGe
_symmetry_space_group_name_H-M 'P 1'
_symmetry_Int_Tables_number 1
_cell_length_a 4.1703
_cell_length_b 4.4029
_cell_length_c 4.4029
_cell_angle_alpha 90.00
_cell_angle_beta 90.00
_cell_angle_gamma 90.00
loop_
_symmetry_equiv_pos_as_xyz
'x,y,z'
loop_
_atom_site_label
_atom_site_fract_x
_atom_site_fract_y
_atom_site_fract_z
_atom_site_occupancy
Re1 0.5000 0.5000 0.5000 1
Pa1 0.0000 0.5000 0.0000 1
Ge1 0.5000 0.0000 0.0000 1
Pa2 0.0000 0.0000 0.5000 1
```

6.
The following is a GGA-PBE calculation of a relaxed structure of Pa4ReGe2, from Alexandria.

Summary:
ΔH_f (0 K) = -0.07 eV per atom
volume = 23.1 Å³ per atom
density of states at the Fermi level = 12.1 states/eV/f.u.

```
data_Pa4ReGe2
_symmetry_space_group_name_H-M 'P 1'
_symmetry_Int_Tables_number 1
_cell_length_a 3.8132
_cell_length_b 5.5114
_cell_length_c 8.5253
_cell_angle_alpha 111.47
_cell_angle_beta 102.92
_cell_angle_gamma 90.00
loop_
_symmetry_equiv_pos_as_xyz
'x,y,z'
loop_
_atom_site_label
_atom_site_fract_x
_atom_site_fract_y
_atom_site_fract_z
_atom_site_occupancy
Ge1 0.2590 0.1743 0.5179 1
Pa1 0.3717 0.7556 0.7434 1
Pa2 0.0891 0.6680 0.1783 1
Re1 0.0000 0.0000 0.0000 1
Ge2 0.7410 0.8257 0.4821 1
Pa3 0.6283 0.2444 0.2566 1
Pa4 0.9109 0.3320 0.8217 1
```

Which of these has the highest ΔH_f (0 K)? Pa4ReGe2

Number 5 is which compound? Pa2ReGe